1.
LaCdSi | Alexandria via LeMat-Bulk | PBE-GGA | optimized geometry; E_form (uncorrected) = 0.079 eV per atom; uncorrected energy = -0.270 Ry per atom; V = 366 Å³/cell
1.0
7.1501 0.0000 0.0000
0.0000 7.1501 0.0000
0.0000 0.0000 7.1501
La Cd Si
4 4 4
Direct
0.0000 0.0000 0.0000
0.0000 0.5000 0.5000
0.5000 0.0000 0.5000
0.5000 0.5000 0.0000
0.2500 0.2500 0.2500
0.2500 0.7500 0.7500
0.7500 0.2500 0.7500
0.7500 0.7500 0.2500
0.2500 0.2500 0.7500
0.2500 0.7500 0.2500
0.7500 0.2500 0.2500
0.7500 0.7500 0.7500

---

2.
SrLi2Ga2 | Alexandria via LeMat-Bulk | PBE-GGA | optimized geometry; uncorrected energy = -0.192 Ry per atom; calculated formation energy = -295 meV/atom; V = 228 Å³/cell
1.0
-2.2346 2.3873 10.6843
2.2346 -2.3873 10.6843
2.2346 2.3873 -10.6843
Sr Li Ga
2 4 4
Direct
0.4150 0.1650 0.2500
0.5850 0.8350 0.7500
0.2128 0.9628 0.2500
0.2854 0.5354 0.7500
0.7146 0.4646 0.2500
0.7872 0.0372 0.7500
0.0313 0.2813 0.7500
0.1501 0.4001 0.7500
0.8499 0.5999 0.2500
0.9687 0.7187 0.2500

---

3.
LiSm2SiPd6 | Alexandria via LeMat-Bulk | PBE-GGA | optimized geometry; E_form (uncorrected) = -0.642 eV per atom; uncorrected energy = -0.399 Ry per atom; V = 185 Å³/cell
1.0
5.5567 0.0000 0.0000
2.7048 5.6698 0.0000
2.6825 0.5505 5.8610
Li Sm Si Pd
1 2 1 6
Direct
0.0000 0.0000 0.0000
0.4922 0.7601 0.2498
0.5078 0.2399 0.7502
0.0000 0.5000 0.5000
0.0158 0.6796 0.7892
0.1594 0.0833 0.5936
0.4835 0.3128 0.2160
0.5165 0.6872 0.7840
0.8406 0.9167 0.4064
0.9842 0.3204 0.2108

---

4.
KScPS2 | Alexandria via LeMat-Bulk | PBE-GGA | optimized geometry; E_form (uncorrected) = -0.652 eV per atom; uncorrected energy = -0.358 Ry per atom; V = 129 Å³/cell
1.0
5.0349 0.0000 0.0000
0.0000 5.0349 0.0000
0.0000 0.0000 5.0915
K Sc P S
1 1 1 2
Direct
0.0000 0.0000 0.0000
0.5000 0.5000 0.5000
0.5000 0.5000 0.0000
0.0000 0.5000 0.5000
0.5000 0.0000 0.5000

---

5.
Tm6SnHg8 | Alexandria via LeMat-Bulk | PBE-GGA | optimized geometry; uncorrected energy = -0.188 Ry per atom; calculated formation energy = -339 meV/atom; V = 404 Å³/cell
1.0
4.3064 2.4863 6.2879
-4.3064 2.4863 6.2879
0.0000 -4.9726 6.2879
Tm Sn Hg
6 1 8
Direct
0.1171 0.8080 0.3901
0.1920 0.6099 0.8829
0.3901 0.1171 0.8080
0.6099 0.8829 0.1920
0.8080 0.3901 0.1171
0.8829 0.1920 0.6099
0.5000 0.5000 0.5000
0.0422 0.4237 0.6915
0.1959 0.1959 0.1959
0.3085 0.9578 0.5763
0.4237 0.6915 0.0422
0.5763 0.3085 0.9578
0.6915 0.0422 0.4237
0.8041 0.8041 0.8041
0.9578 0.5763 0.3085

---

6.
Tm6Mg2Cu | Alexandria via LeMat-Bulk | PBE-GGA | optimized geometry; uncorrected energy = -0.274 Ry per atom; calculated formation energy = 61 meV/atom; V = 496 Å³/cell
1.0
6.5823 0.0000 0.0000
0.0000 7.1655 0.0000
-3.4625 0.0000 10.5088
Tm Mg Cu
12 4 2
Direct
0.0929 0.0355 0.2511
0.0929 0.4645 0.7511
0.1674 0.7051 0.0341
0.1674 0.7949 0.5341
0.3204 0.1587 0.9988
0.3204 0.3413 0.4988
0.6796 0.6587 0.5012
0.6796 0.8413 0.0012
0.8326 0.2051 0.4659
0.8326 0.2949 0.9659
0.9071 0.5355 0.2489
0.9071 0.9645 0.7489
0.4253 0.0844 0.7433
0.4253 0.4156 0.2433
0.5747 0.5844 0.7567
0.5747 0.9156 0.2567
0.5000 0.0000 0.5000
0.5000 0.5000 0.0000

---

7.
TmCuTeO6 | Alexandria via LeMat-Bulk | PBE-GGA | optimized geometry; E_form (uncorrected) = -1.492 eV per atom; uncorrected energy = -0.448 Ry per atom; V = 223 Å³/cell
1.0
4.8374 0.0000 0.0000
0.0000 4.8374 0.0000
0.0000 0.0000 9.5110
Tm Cu Te O
2 2 2 12
Direct
0.0000 0.0000 0.0000
0.5000 0.5000 0.5000
0.0000 0.0000 0.3290
0.5000 0.5000 0.8290
0.0000 0.0000 0.6629
0.5000 0.5000 0.1629
0.1786 0.1786 0.5016
0.1958 0.1958 0.8118
0.2130 0.2130 0.1691
0.2870 0.7130 0.6691
0.3042 0.6958 0.3118
0.3214 0.6786 0.0016
0.6786 0.3214 0.0016
0.6958 0.3042 0.3118
0.7130 0.2870 0.6691
0.7870 0.7870 0.1691
0.8042 0.8042 0.8118
0.8214 0.8214 0.5016

---

8.
Pm3GeP2Pd9 | Alexandria via LeMat-Bulk | PBE-GGA | optimized geometry; uncorrected energy = -0.425 Ry per atom; calculated formation energy = -690 meV/atom; V = 300 Å³/cell
1.0
6.3566 0.0000 0.0000
-3.1783 5.5050 0.0000
0.0000 0.0000 8.5619
Pm Ge P Pd
3 1 2 9
Direct
0.0000 0.0000 0.0000
0.3333 0.6667 0.6441
0.6667 0.3333 0.3559
0.0000 0.0000 0.5000
0.3333 0.6667 0.1697
0.6667 0.3333 0.8303
0.0000 0.5000 0.0000
0.1515 0.3029 0.2893
0.1515 0.8485 0.2893
0.3029 0.1515 0.7107
0.5000 0.0000 0.0000
0.5000 0.5000 0.0000
0.6971 0.8485 0.2893
0.8485 0.1515 0.7107
0.8485 0.6971 0.7107

---

9.
NpPa2NbN6 | Alexandria via LeMat-Bulk | PBE-GGA | optimized geometry; E_form (uncorrected) = -1.241 eV per atom; uncorrected energy = -0.767 Ry per atom; V = 144 Å³/cell
1.0
2.9072 1.6785 4.9045
-2.9072 1.6785 4.9045
0.0000 -3.3569 4.9045
Np Pa Nb N
1 2 1 6
Direct
0.0000 0.0000 0.0000
0.2229 0.2229 0.2229
0.7222 0.7222 0.7222
0.5047 0.5047 0.5047
0.1502 0.3956 0.7960
0.3249 0.8913 0.6168
0.3956 0.7960 0.1502
0.6168 0.3249 0.8913
0.7960 0.1502 0.3956
0.8913 0.6168 0.3249

---

10.
PdNCl3 | Alexandria via LeMat-Bulk | PBE-GGA | optimized geometry; E_form (uncorrected) = 0.897 eV per atom; uncorrected energy = -0.214 Ry per atom; V = 114 Å³/cell
1.0
4.8454 0.0000 0.0000
0.0000 4.8454 0.0000
0.0000 0.0000 4.8454
Pd N Cl
1 1 3
Direct
0.0000 0.0000 0.0000
0.5000 0.5000 0.5000
0.0000 0.0000 0.5000
0.0000 0.5000 0.0000
0.5000 0.0000 0.0000

---

11.
UReB4 | Alexandria via LeMat-Bulk | PBE-GGA | optimized geometry; uncorrected energy = -0.658 Ry per atom; calculated formation energy = -542 meV/atom; V = 123 Å³/cell
1.0
3.6542 -4.6760 0.0000
3.6542 4.6760 0.0000
0.0000 0.0000 3.6063
U Re B
2 2 8
Direct
0.1997 0.8003 0.0000
0.8003 0.1997 0.0000
0.3127 0.3127 0.0000
0.6873 0.6873 0.0000
0.1165 0.4358 0.5000
0.1195 0.1195 0.5000
0.4069 0.5931 0.5000
0.4358 0.1165 0.5000
0.5642 0.8835 0.5000
0.5931 0.4069 0.5000
0.8805 0.8805 0.5000
0.8835 0.5642 0.5000

---

12.
Li2TaAg | Alexandria via LeMat-Bulk | PBE-GGA | optimized geometry; uncorrected energy = -0.284 Ry per atom; calculated formation energy = 769 meV/atom; V = 267 Å³/cell
1.0
7.0093 0.0000 0.0000
0.0000 7.0093 0.0000
0.0000 0.0000 5.4309
Li Ta Ag
8 4 4
Direct
0.2224 0.7500 0.1250
0.2500 0.2224 0.8750
0.2500 0.2776 0.3750
0.2776 0.7500 0.6250
0.7224 0.2500 0.6250
0.7500 0.7224 0.3750
0.7500 0.7776 0.8750
0.7776 0.2500 0.1250
0.0000 0.0000 0.5000
0.0000 0.5000 0.7500
0.5000 0.0000 0.2500
0.5000 0.5000 0.0000
0.0000 0.0000 0.0000
0.0000 0.5000 0.2500
0.5000 0.0000 0.7500
0.5000 0.5000 0.5000

---

13.
TbSm3Th3 | Alexandria via LeMat-Bulk | PBE-GGA | optimized geometry; uncorrected energy = -0.426 Ry per atom; calculated formation energy = 64 meV/atom; V = 466 Å³/cell
1.0
9.5733 0.0000 0.0000
-4.7866 8.2907 0.0000
0.0000 0.0000 5.8749
Tb Sm Th
2 6 6
Direct
0.3333 0.6667 0.2500
0.6667 0.3333 0.7500
0.0437 0.2421 0.2500
0.1984 0.9563 0.2500
0.2421 0.1984 0.7500
0.7579 0.8016 0.2500
0.8016 0.0437 0.7500
0.9563 0.7579 0.7500
0.1037 0.4886 0.7500
0.3849 0.8963 0.7500
0.4886 0.3849 0.2500
0.5114 0.6151 0.7500
0.6151 0.1037 0.2500
0.8963 0.5114 0.2500

---

14.
CeIn6Se8 | Alexandria via LeMat-Bulk | PBE-GGA | optimized geometry; E_form (uncorrected) = -0.596 eV per atom; uncorrected energy = -0.290 Ry per atom; V = 433 Å³/cell
1.0
5.4318 3.1360 4.2394
-5.4318 3.1360 4.2394
0.0000 -6.2721 4.2394
Ce In Se
1 6 8
Direct
0.0000 0.0000 0.0000
0.1095 0.3714 0.5843
0.3714 0.5843 0.1095
0.4157 0.8905 0.6286
0.5843 0.1095 0.3714
0.6286 0.4157 0.8905
0.8905 0.6286 0.4157
0.1830 0.8156 0.3029
0.1844 0.6971 0.8170
0.2714 0.2714 0.2714
0.3029 0.1830 0.8156
0.6971 0.8171 0.1844
0.7286 0.7286 0.7286
0.8156 0.3029 0.1830
0.8171 0.1844 0.6971

---

15.
Li2PmPuF8 | Alexandria via LeMat-Bulk | PBE-GGA | optimized geometry; E_form (uncorrected) = -3.571 eV per atom; uncorrected energy = -0.494 Ry per atom; V = 162 Å³/cell
1.0
-2.6694 2.6694 5.6684
2.6694 -2.6694 5.6684
2.6694 2.6694 -5.6684
Li Pm Pu F
2 1 1 8
Direct
0.0000 0.0000 0.0000
0.7500 0.2500 0.5000
0.2500 0.7500 0.5000
0.5000 0.5000 0.0000
0.1051 0.4967 0.9392
0.1912 0.0760 0.4355
0.2443 0.8088 0.8848
0.5033 0.4425 0.6084
0.5575 0.1659 0.0608
0.6405 0.7557 0.5645
0.8341 0.8949 0.3916
0.9240 0.3595 0.1152

---

16.
InTcSb2I | Alexandria via LeMat-Bulk | PBE-GGA | optimized geometry; E_form (uncorrected) = 0.329 eV per atom; uncorrected energy = -0.312 Ry per atom; V = 158 Å³/cell
1.0
5.1080 0.0000 0.0000
0.0000 5.1080 0.0000
0.0000 0.0000 6.0531
In Tc Sb I
1 1 2 1
Direct
0.0000 0.0000 0.0000
0.5000 0.5000 0.5000
0.0000 0.5000 0.5000
0.5000 0.0000 0.5000
0.5000 0.5000 0.0000

---

17.
CdAsPH | Alexandria via LeMat-Bulk | PBE-GGA | optimized geometry; uncorrected energy = -0.257 Ry per atom; V = 87 Å³/cell
1.0
5.0382 0.0000 0.0000
0.0000 3.4086 0.0000
-2.3720 0.0000 5.0903
Cd As P H
1 1 1 1
Direct
0.0000 0.0000 0.0000
0.0492 0.0000 0.5153
0.4081 0.5000 0.6730
0.4752 0.5000 0.4476

---

18.
Pr7Pt2Pb2 | Alexandria via LeMat-Bulk | PBE-GGA | optimized geometry; uncorrected energy = -0.391 Ry per atom; calculated formation energy = -511 meV/atom; V = 366 Å³/cell
1.0
4.3108 -5.8099 0.0000
4.3108 5.8099 0.0000
0.0000 0.0000 7.3106
Pr Pt Pb
7 2 2
Direct
0.0000 0.0000 0.0000
0.0000 0.5000 0.2541
0.0000 0.5000 0.7459
0.5000 0.0000 0.2541
0.5000 0.0000 0.7459
0.5000 0.5000 0.2366
0.5000 0.5000 0.7634
0.2812 0.7188 0.0000
0.7188 0.2812 0.0000
0.1796 0.1796 0.5000
0.8204 0.8204 0.5000

---

19.
Ca2SnTe | Alexandria via LeMat-Bulk | PBE-GGA | optimized geometry; E_form (uncorrected) = -0.760 eV per atom; uncorrected energy = -0.261 Ry per atom; V = 477 Å³/cell
1.0
7.8124 0.0000 0.0000
0.0000 7.8124 0.0000
0.0000 0.0000 7.8124
Ca Sn Te
8 4 4
Direct
0.2500 0.2500 0.2500
0.2500 0.2500 0.7500
0.2500 0.7500 0.2500
0.2500 0.7500 0.7500
0.7500 0.2500 0.2500
0.7500 0.2500 0.7500
0.7500 0.7500 0.2500
0.7500 0.7500 0.7500
0.0000 0.0000 0.0000
0.0000 0.5000 0.5000
0.5000 0.0000 0.5000
0.5000 0.5000 0.0000
0.0000 0.0000 0.5000
0.0000 0.5000 0.0000
0.5000 0.0000 0.0000
0.5000 0.5000 0.5000

---

20.
Cs3Hg2Cl7 | Alexandria via LeMat-Bulk | PBE-GGA | optimized geometry; E_form (uncorrected) = -1.298 eV per atom; uncorrected energy = -0.194 Ry per atom; V = 404 Å³/cell
1.0
2.7704 -13.5576 0.0000
2.7704 13.5576 0.0000
0.0000 0.0000 5.3841
Cs Hg Cl
3 2 7
Direct
0.0000 0.0000 0.0000
0.1806 0.8194 0.0000
0.8194 0.1806 0.0000
0.4000 0.6000 0.5000
0.6000 0.4000 0.5000
0.0953 0.9047 0.5000
0.3041 0.6959 0.5000
0.4040 0.5960 0.0000
0.5000 0.5000 0.5000
0.5960 0.4040 0.0000
0.6959 0.3041 0.5000
0.9047 0.0953 0.5000

---

21.
Pr2Sm3Dy5 | Alexandria via LeMat-Bulk | PBE-GGA | optimized geometry; uncorrected energy = -0.315 Ry per atom; calculated formation energy = 389 meV/atom; V = 711 Å³/cell
1.0
-4.7379 10.9265 3.4356
4.7379 -10.9265 3.4356
4.7379 10.9265 -3.4356
Pr Sm Dy
4 6 10
Direct
0.1256 0.1037 0.2293
0.3744 0.6037 0.9781
0.6256 0.3963 0.0219
0.8744 0.8963 0.7707
0.1291 0.7482 0.8773
0.2500 0.2500 0.0000
0.3709 0.2482 0.6190
0.6291 0.7518 0.3810
0.7500 0.7500 0.0000
0.8709 0.2518 0.1227
0.0014 0.7500 0.2514
0.1250 0.4129 0.5379
0.2500 0.7500 0.5000
0.3750 0.9129 0.2880
0.4986 0.7500 0.7486
0.5014 0.2500 0.2514
0.6250 0.0871 0.7120
0.7500 0.2500 0.5000
0.8750 0.5871 0.4621
0.9986 0.2500 0.7486

---

22.
PrGa6Pd2 | Alexandria via LeMat-Bulk | PBE-GGA | optimized geometry; uncorrected energy = -0.290 Ry per atom; calculated formation energy = -237 meV/atom; V = 198 Å³/cell
1.0
4.9748 0.0000 0.0000
-2.4874 4.3083 0.0000
0.0000 0.0000 9.2287
Pr Ga Pd
1 6 2
Direct
0.0000 0.0000 0.0000
0.0000 0.3441 0.7210
0.0000 0.6559 0.2790
0.3441 0.0000 0.7210
0.3441 0.3441 0.2790
0.6559 0.0000 0.2790
0.6559 0.6559 0.7210
0.3333 0.6667 0.5000
0.6667 0.3333 0.5000